The following is a DFT calculation (PBE+U) of a relaxed structure of La9Ni5O19.

M_tot = 9.00 μB/f.u.
D(E_F) = 0.071 states/eV per atom
Calculated total energy = -7.195 eV/atom

a = 15.4365 Å, b = 14.3868 Å, c = 6.7999 Å
α = 85.62°, β = 68.32°, γ = 26.05°
Last column: magnetic moment on the atom in μB.
Fractional coordinates of all 33 atoms:
La: 0.5612 0.8365 0.1635  0.01
La: 0.1635 0.4388 0.5612  0.01
La: 0.9683 0.2392 0.7608  0.00
La: 0.2327 0.9431 0.0569  0.01
La: 0.4376 0.1583 0.8417  0.01
La: 0.7608 0.0317 0.9683  0.00
La: 0.0569 0.7673 0.2327  0.01
La: 0.5970 0.4030 0.5970  0.00
La: 0.8417 0.5624 0.4376  0.01
Ni: 0.5924 0.6074 0.3926  1.68
Ni: 0.8074 0.7942 0.2058  1.70
Ni: 0.2058 0.1926 0.8074  1.70
Ni: 0.3926 0.4076 0.5924  1.68
Ni: 0.9893 0.0107 0.9893  1.63
O: 0.9665 0.6054 0.3946  0.04
O: 0.4214 0.8759 0.6261  0.01
O: 0.2067 0.5600 0.4400  0.04
O: 0.6261 0.0766 0.4214  0.01
O: 0.2737 0.8305 0.6942  0.00
O: 0.4400 0.7933 0.2067  0.04
O: 0.7985 0.3058 0.1695  0.00
O: 0.9234 0.3739 0.1241  0.01
O: 0.6942 0.2015 0.2737  0.00
O: 0.0154 0.3636 0.6364  0.04
O: 0.9887 0.5113 0.9887  0.02
O: 0.7654 0.3932 0.6068  0.03
O: 0.6068 0.2346 0.7654  0.03
O: 0.3946 0.0335 0.9665  0.04
O: 0.4887 0.0113 0.4887  0.02
O: 0.6364 0.9846 0.0154  0.04
O: 0.1241 0.5786 0.9234  0.01
O: 0.1535 0.8465 0.1535  0.08
O: 0.1695 0.7263 0.7985  0.00